No. 1
Zr2TlOs: relaxed, GGA-PBE.

a b c (Å): 7.846 7.846 5.832
angles (deg): 90.00 90.00 90.00
Space group I-42d (No. 122)
Asymmetric unit:
Zr 0.197 0.750 0.125 [8 per cell]
Tl 0.000 0.000 0.500 [4 per cell]
Os 0.000 0.000 0.000 [4 per cell]

Values from the calculation:
Energy of formation: 0.2562 eV per atom
Volume: 359 Å³ per cell
Fermi-level density of states: 4.04 states/eV/f.u.
M_tot: 0.0 μB/f.u.



No. 2
NaNiP: relaxed, GGA-PBE.

a b c (Å): 3.7257 3.7257 14.7424
angles (deg): 90.00 90.00 120.00
Space group R3m (No. 160, hexagonal axes)
Asymmetric unit:
Na 0.0000 0.0000 0.0000 [3 per cell]
Ni 0.0000 0.0000 0.4888 [3 per cell]
P 0.0000 0.0000 0.8071 [3 per cell]

Values from the calculation:
Energy of formation: -0.2509 eV per atom
Volume: 177 Å³ per cell
Fermi-level density of states: 2.65 states/eV/f.u.
M_tot: 0.0 μB/f.u.